1.
! AsCl3F4, relaxed, DFT PBE-GGA; values from VASP
&SYSTEM
  ibrav = 0, nat = 16, ntyp = 3
/
ATOMIC_SPECIES
As 74.92 As.upf
F 19.00 F.upf
Cl 35.45 Cl.upf
ATOMIC_POSITIONS angstrom
As -6.6416 -2.4259 3.9515
As -4.8456 1.6671 -1.1794
F -1.0373 4.0967 1.8547
F -6.9025 -0.7529 4.4074
F -14.5308 1.7807 0.9677
F -6.3657 1.5115 -2.1445
F -5.2005 3.2804 -0.5872
F -10.6379 -0.6237 2.2046
F -3.4531 1.4055 -0.0366
F -8.2508 2.0656 4.1008
Cl -12.2166 1.3702 -2.1027
Cl -9.0923 2.9394 -0.7727
Cl -11.8702 0.3280 -0.4427
Cl -8.6949 2.0813 0.9785
Cl -6.4526 0.2455 1.1171
Cl -5.0182 -1.1527 1.6048
CELL_PARAMETERS angstrom
-0.2662 4.5581 1.3767
-9.2147 -0.1875 -5.2054
-6.7900 -2.7193 4.7514
! Formation energy (no corrections) = -1.153 eV per atom
! SG = P1
! Magnetic moment = 0.98 μB/f.u.

=====

2.
! AsClF2, relaxed, DFT PBE-GGA; values from VASP
&SYSTEM
  ibrav = 0, nat = 4, ntyp = 3
/
ATOMIC_SPECIES
As 74.92 As.upf
Cl 35.45 Cl.upf
F 19.00 F.upf
ATOMIC_POSITIONS angstrom
As -1.3169 -7.4508 3.8772
Cl -4.5046 -5.3454 3.8555
F -0.6047 -6.8577 2.3432
F -5.7846 -9.5256 5.6447
CELL_PARAMETERS angstrom
-4.4751 -3.6800 1.0058
0.5973 -6.4740 1.9348
-2.0536 -1.4196 3.8339
! Formation energy (no corrections) = -1.659 eV per atom
! SG = P1
! Energy above the lowest structure with this stoichiometry = 0 meV per atom
! Magnetic moment = 0.00 μB/f.u.

=====

3.
! GeAsClF2, relaxed, DFT PBE-GGA; values from VASP
&SYSTEM
  ibrav = 0, nat = 5, ntyp = 4
/
ATOMIC_SPECIES
As 74.92 As.upf
F 19.00 F.upf
Ge 72.64 Ge.upf
Cl 35.45 Cl.upf
ATOMIC_POSITIONS angstrom
As 0.0000 0.0000 0.0000
F 1.5626 0.8493 0.9732
F -1.2138 1.4878 0.6505
Ge -0.4264 0.4344 4.5287
Cl -0.7752 -1.9026 2.9049
CELL_PARAMETERS angstrom
-2.4276 2.9756 1.3011
-1.5504 -3.8052 5.8097
3.1251 1.6985 1.9465
! Formation energy (no corrections) = -0.718 eV per atom
! SG = P4/mmm
! Magnetic moment = 0.98 μB/f.u.

=====

4.
! AsI2Cl3F6, relaxed, DFT PBE-GGA; values from VASP
&SYSTEM
  ibrav = 0, nat = 12, ntyp = 4
/
ATOMIC_SPECIES
As 74.92 As.upf
I 126.90 I.upf
Cl 35.45 Cl.upf
F 19.00 F.upf
ATOMIC_POSITIONS angstrom
As 2.7697 0.0000 -0.7150
I -0.4294 3.8107 2.5538
I 2.9235 0.0000 3.5460
Cl 0.0000 3.8107 0.0000
Cl 1.2471 1.9053 3.0499
Cl 1.2471 -1.9053 3.0499
F 3.5184 1.2617 0.3115
F -1.0243 2.5490 5.7883
F 1.1275 3.8107 5.7597
F 1.3666 0.0000 0.3401
F -1.0243 -2.5490 5.7883
F 3.5184 6.3597 0.3115
CELL_PARAMETERS angstrom
5.5395 0.0000 -1.4300
0.0000 7.6213 0.0000
-3.0454 -3.8107 7.5297
! Formation energy (no corrections) = -1.231 eV per atom
! SG = C2/m
! Magnetic moment = 0.00 μB/f.u.

=====

5.
! KAsClF6, relaxed, DFT PBE-GGA; values from VASP
&SYSTEM
  ibrav = 0, nat = 9, ntyp = 4
/
ATOMIC_SPECIES
K 39.10 K.upf
As 74.92 As.upf
Cl 35.45 Cl.upf
F 19.00 F.upf
ATOMIC_POSITIONS angstrom
K 6.5389 4.0064 1.6141
As 3.5931 1.9298 3.0455
Cl 1.1069 -0.1290 4.9614
F 1.9406 1.7823 2.4034
F 3.3653 0.3498 3.8962
F 5.2313 2.0577 3.6734
F 2.9416 2.7760 4.4543
F 3.8165 3.4420 2.1591
F 4.1795 0.9911 1.6516
CELL_PARAMETERS angstrom
6.3320 0.7184 0.6782
3.7338 5.5025 0.0250
0.5036 -0.2914 5.1499
! Formation energy (no corrections) = -1.991 eV per atom
! SG = P1
! Magnetic moment = 1.00 μB/f.u.

=====

6.
! K3AsCl2F6, relaxed, DFT PBE-GGA; values from VASP
&SYSTEM
  ibrav = 0, nat = 12, ntyp = 4
/
ATOMIC_SPECIES
K 39.10 K.upf
As 74.92 As.upf
Cl 35.45 Cl.upf
F 19.00 F.upf
ATOMIC_POSITIONS angstrom
K -0.1285 -3.5416 1.2821
K -4.3314 -1.1419 1.9507
K -4.2029 2.3997 0.6686
As -1.8405 -0.4441 -1.4111
Cl -2.0829 -2.7149 3.3699
Cl -6.5798 0.4311 0.5316
F -3.1178 -1.6520 -1.1293
F -5.5449 -0.6318 5.0308
F -6.5540 -2.4455 3.6661
F -2.1088 0.1617 0.2354
F -5.3748 4.0560 3.3337
F -3.2879 -6.3398 0.5678
CELL_PARAMETERS angstrom
-3.6810 -0.8882 -2.8223
-0.2570 -7.0832 2.5643
-4.7248 5.6876 4.1595
! Formation energy (no corrections) = -2.229 eV per atom
! SG = C2/m
! Magnetic moment = 0.00 μB/f.u.

=====

Q: What is the formation energy (no corrections) in the second record?
A: -1.659 eV per atom

=====

Q: Which of these has the highest magnetic moment?
A: KAsClF6

=====

Q: magnetic moment of number 3 (GeAsClF2)?
A: 0.98 μB/f.u.

=====

Q: Which formula does entry 6 have?
A: K3AsCl2F6